[1]
Here is a relaxed structure of Ac5ThCd4 from Alexandria. Energies are from PBE.

## Properties
- Total magnetic moment: 0.088 μB/f.u.
- E_tot: -3.35 eV per atom
- E_form: -0.190 eV/atom
- Space-group type: P4/mmm (123)

Unit cell a=3.9769 b=3.9769 c=21.9125 alpha=90.00 beta=90.00 gamma=90.00
Sites, in units of the cell vectors:
Ac (0.5000, 0.5000, 0.1129)
Ac (0.5000, 0.5000, 0.3088)
Ac (0.5000, 0.5000, 0.5000)
Ac (0.5000, 0.5000, 0.6912)
Ac (0.5000, 0.5000, 0.8871)
Th (0.0000, 0.0000, 0.0000)
Cd (0.0000, 0.0000, 0.2105)
Cd (0.0000, 0.0000, 0.4048)
Cd (0.0000, 0.0000, 0.5952)
Cd (0.0000, 0.0000, 0.7895)


[2]
Here is a relaxed structure of AcThCd6 from Alexandria. Energies are from PBE.

## Properties
- Total magnetic moment: 0.000 μB/f.u.
- E_tot: -2.31 eV per atom
- E_form: -0.187 eV/atom
- Space-group type: Pmm2 (25)

Unit cell a=4.8889 b=6.5076 c=6.7582 alpha=90.00 beta=90.00 gamma=90.00
Sites, in units of the cell vectors:
Ac (0.0000, 0.6090, 0.0000)
Th (0.5000, 0.3930, 0.5000)
Cd (0.5000, 0.8655, 0.2677)
Cd (0.0000, 0.1483, 0.7348)
Cd (0.0000, 0.1483, 0.2652)
Cd (0.5000, 0.8655, 0.7323)
Cd (0.0000, 0.7368, 0.5000)
Cd (0.5000, 0.2336, 0.0000)